VASP calculation (PBE-GGA) on an optimized crystal structure of ErLuPd2.

POSCAR file:
```
ErLuPd2
1.0
-0.418 1.571 4.169
1.697 -4.855 1.999
6.509 2.202 -0.176
Er Lu Pd
2 2 4
Direct
0.500 0.606 0.182 Er
0.500 0.394 0.682 Er
0.000 0.106 0.318 Lu
0.000 0.894 0.818 Lu
0.500 0.092 0.043 Pd
0.000 0.596 0.457 Pd
0.500 0.908 0.543 Pd
0.000 0.404 0.957 Pd
```

Output
The total energy is -46.6 eV for the cell shown.